Entry 1:
The following is a PBE calculation of SbS after structural relaxation, from Alexandria.

Unit cell a=6.2762 b=7.3964 c=25.6172 alpha=90.00 beta=90.00 gamma=90.00
Closest atoms and distances in Å follow each position.
Space group Fddd (No. 70, origin choice 2)
One atom of each set of equivalent atoms:
Sb 0.1250 0.3591 0.1250  2 S 2.49
S 0.1250 0.1250 0.0554  2 Sb 2.49

Output
DOS(E_F) = 4.75 states/eV/cell
crystal system = orthorhombic
formation energy from raw total energies = -0.0578 eV/atom
magnetization = 0.00 μB per formula unit
volume = 1189.2 Å³ per cell

***

Entry 2:
The following is a PBE calculation of SbS after structural relaxation, from Alexandria.

Unit cell a=8.5408 b=8.5408 c=5.3931 alpha=90.00 beta=90.00 gamma=120.00
Closest atoms and distances in Å follow each position.
Space group P6_3/m (No. 176)
One atom of each set of equivalent atoms:
Sb 0.0176 0.3269 0.2500  4 S 2.66-2.77
S 0.0665 0.4120 0.7500  4 Sb 2.66-2.77

Output
DOS(E_F) = 7.41 states/eV/cell
crystal system = hexagonal
formation energy from raw total energies = 0.1326 eV/atom
magnetization = 0.00 μB per formula unit
volume = 340.7 Å³ per cell

***

Entry 3:
The following is a PBE calculation of Sb4S5 after structural relaxation, from Alexandria.

Unit cell a=9.0188 b=9.0188 c=5.7929 alpha=90.00 beta=90.00 gamma=90.00
Closest atoms and distances in Å follow each position.
Space group I4/m (No. 87)
One atom of each set of equivalent atoms:
Sb 0.0847 0.2960 0.0000  3 S 2.57-2.83
S 0.0000 0.0000 0.0000  4 Sb 2.78
S 0.0955 0.3209 0.5000  2 Sb 2.57-2.83

Output
DOS(E_F) = 7.60 states/eV/cell
crystal system = tetragonal
formation energy from raw total energies = -0.0944 eV/atom
magnetization = 0.00 μB per formula unit
volume = 471.2 Å³ per cell

***

Entry 4:
The following is a PBE calculation of SbS after structural relaxation, from Alexandria.

Unit cell a=7.8288 b=7.8288 c=7.8288 alpha=90.00 beta=90.00 gamma=90.00
Closest atoms and distances in Å follow each position.
Space group Pm-3n (No. 223)
One atom of each set of equivalent atoms:
Sb 0.0000 0.2500 0.5000  4 S 2.77
S 0.0000 0.5000 0.2500  4 Sb 2.77

Output
DOS(E_F) = 17.44 states/eV/cell
crystal system = cubic
formation energy from raw total energies = 0.4277 eV/atom
magnetization = 0.00 μB per formula unit
volume = 479.8 Å³ per cell

***

Entry 5:
The following is a PBE calculation of Sb2S3 after structural relaxation, from Alexandria.

Unit cell a=8.3245 b=3.8783 c=8.3801 alpha=90.00 beta=90.26 gamma=90.00
Closest atoms and distances in Å follow each position.
Space group P2_1/m (No. 11)
One atom of each set of equivalent atoms:
Sb 0.0381 0.2500 0.1975  5 S 2.52-2.82
Sb 0.3848 0.7500 0.6627  1 S 2.48
S 0.1455 0.2500 0.6420  4 Sb 2.78-2.82
S 0.1762 0.7500 0.0150  3 Sb 2.52-2.73
S 0.3779 0.7500 0.3669  1 Sb 2.48

Output
crystal system = monoclinic
formation energy from raw total energies = -0.2135 eV/atom
magnetization = 0.00 μB per formula unit
volume = 270.5 Å³ per cell

***

Entry 6:
The following is a PBE calculation of SbS after structural relaxation, from Alexandria.

Unit cell a=3.5767 b=18.7933 c=6.2002 alpha=90.00 beta=90.00 gamma=90.00
Closest atoms and distances in Å follow each position.
Space group Amm2 (No. 38)
One atom of each set of equivalent atoms:
Sb 0.0000 0.0000 0.0000  2 S 2.45
Sb 0.5000 0.2490 0.0623  2 S 2.54
S 0.0000 0.1529 0.0694  2 Sb 2.54
S 0.5000 0.0000 0.7292  2 Sb 2.45

Output
DOS(E_F) = 2.76 states/eV/cell
crystal system = orthorhombic
formation energy from raw total energies = -0.0246 eV/atom
magnetization = 0.00 μB per formula unit
volume = 416.8 Å³ per cell

***

Entry 7:
The following is a PBE calculation of Sb2S3 after structural relaxation, from Alexandria.

Unit cell a=7.3721 b=7.3721 c=18.0341 alpha=90.00 beta=90.00 gamma=120.00
Closest atoms and distances in Å follow each position.
Space group R-3c (No. 167, hexagonal axes)
One atom of each set of equivalent atoms:
Sb 0.0000 0.0000 0.1574  3 S 2.60
S 0.0000 0.2711 0.2500  2 Sb 2.60

Output
crystal system = trigonal
formation energy from raw total energies = -0.1870 eV/atom
magnetization = 0.00 μB per formula unit
volume = 848.8 Å³ per cell

***

Entry 8:
The following is a PBE calculation of SbS after structural relaxation, from Alexandria.

Unit cell a=4.1122 b=4.7733 c=10.1575 alpha=93.41 beta=92.68 gamma=90.01
Closest atoms and distances in Å follow each position.
Space group P-1 (No. 2)
One atom of each set of equivalent atoms:
Sb 0.2412 0.1887 0.4219  1 S 2.42
S 0.2660 0.4288 0.6389  1 Sb 2.42

Output
DOS(E_F) = 1.49 states/eV/cell
crystal system = triclinic
formation energy from raw total energies = -0.0431 eV/atom
magnetization = 0.00 μB per formula unit
volume = 198.8 Å³ per cell